(1)
Density functional theory data (PBE-GGA) for a relaxed structure of ZnSnSbP.

Cell: 6.0396 6.0396 7.3500 Å, 114.05 114.05 90.02°
Fractional positions:
Sb (0.0986, 0.8768, 0.7507)
Sn (0.5033, 0.2847, 0.0000)
Sb (0.8768, 0.0986, 0.2507)
Zn (0.7075, 0.0034, 0.5000)
Sn (0.2847, 0.5033, 0.5000)
P (0.3765, 0.6492, 0.2492)
Zn (0.0034, 0.7075, 0.0000)
P (0.6492, 0.3765, 0.7492)

Output
Crystal system: monoclinic
Relative energy among the computed polymorphs (eV/atom): 0.000
Calculated total energy (eV/atom): -3.80
SG: Cc, No. 9

---

(2)
Density functional theory data (PBE-GGA) for a relaxed structure of Hf2Ta4Au3C3.

Cell: 5.5641 5.5641 14.2263 Å, 101.34 101.34 59.95°
Fractional positions:
Ta (0.0222, 0.1991, 0.0823)
Au (0.5835, 0.7954, 0.7512)
Ta (0.3055, 0.1446, 0.9176)
Ta (0.1446, 0.3055, 0.4176)
Hf (0.5333, 0.3716, 0.6000)
Ta (0.6945, 0.8554, 0.0824)
C (0.8316, 0.3345, 0.5000)
Au (0.9622, 0.0378, 0.7500)
C (0.1684, 0.6655, 0.5000)
Au (0.4165, 0.2046, 0.2488)
C (0.3345, 0.8316, 0.0000)
Au (0.2046, 0.4165, 0.7488)
Ta (0.9778, 0.8009, 0.9177)
Ta (0.8554, 0.6945, 0.5824)
C (0.0000, 0.5000, 0.0000)
Ta (0.8009, 0.9778, 0.4177)
Hf (0.4667, 0.6284, 0.4000)
C (0.6655, 0.1684, 0.0000)
Au (0.0378, 0.9622, 0.2500)
Hf (0.6284, 0.4667, 0.9000)
C (0.5000, 0.0000, 0.5000)
Hf (0.3716, 0.5333, 0.1000)
Au (0.7954, 0.5835, 0.2512)
Ta (0.1991, 0.0222, 0.5823)

Output
Magnetization (μB/cell): 0.0
Crystal system: monoclinic
Calculated total energy (eV/atom): -9.30
SG: C2/c, No. 15

---

(3)
Density functional theory data (PBE-GGA) for a relaxed structure of Sr2CoAuN.

Cell: 5.4128 5.4128 3.5500 Å, 90.00 90.00 90.00°
Fractional positions:
Sr (0.5000, 0.0000, 0.0000)
Au (0.0000, 0.0000, 0.5000)
N (0.5000, 0.5000, 0.0000)
Sr (0.0000, 0.5000, 0.0000)
Co (0.5000, 0.5000, 0.5000)

Output
Magnetization (μB/cell): 0.0
Crystal system: tetragonal
Calculated total energy (eV/atom): -5.01
SG: P4/mmm, No. 123